(1)
First-principles (GGA-PBEsol) data for an optimized crystal structure of Ta3NbB, as listed in Alexandria.

abc: 4.354 4.354 4.354
angles: 90.00 90.00 90.00
Positions (direct):
Ta1 0.000 0.500 0.000
Ta2 0.500 0.000 0.000
Ta3 0.000 0.000 0.500
Nb1 0.500 0.500 0.500
B1 0.000 0.000 0.000

Computed properties:
total magnetic moment: 0.00 μB/atom
space group: No. 221
DOS(E_F): 0.692 states/eV/atom
calculated formation energy: 0.05 eV/atom
theoretical density: 13.0 g/cm3



(2)
First-principles (GGA-PBEsol) data for an optimized crystal structure of NbTc3B, as listed in Alexandria.

abc: 4.633 4.633 4.633
angles: 90.00 90.00 90.00
Each line ends with the local moment (μB).
Positions (direct):
Tc1 0.000 0.000 0.500  1.04
Tc2 0.000 0.500 0.000  1.04
Tc3 0.500 0.000 0.000  1.04
B1 0.500 0.500 0.500  -0.01
Nb1 0.000 0.000 0.000  -0.13

Computed properties:
total magnetic moment: 0.62 μB/atom
space group: No. 221
DOS(E_F): 0.875 states/eV/atom
calculated formation energy: 2.85 eV/atom
theoretical density: 6.6 g/cm3



(3)
First-principles (GGA-PBEsol) data for an optimized crystal structure of Nb2TcB2, as listed in Alexandria.

abc: 3.279 6.002 6.002
angles: 90.00 90.00 90.00
Positions (direct):
Nb1 0.500 0.823 0.323
Nb2 0.500 0.177 0.677
Nb3 0.500 0.323 0.177
Nb4 0.500 0.677 0.823
Tc1 0.000 0.000 0.000
Tc2 0.000 0.500 0.500
B1 0.000 0.389 0.889
B2 0.000 0.611 0.111
B3 0.000 0.111 0.389
B4 0.000 0.889 0.611

Computed properties:
total magnetic moment: 0.00 μB/atom
space group: No. 127
DOS(E_F): 0.438 states/eV/atom
calculated formation energy: -0.70 eV/atom
theoretical density: 8.6 g/cm3



(4)
First-principles (GGA-PBEsol) data for an optimized crystal structure of NbTcB2, as listed in Alexandria.

abc: 4.611 4.611 6.173
angles: 111.93 111.93 90.00
Positions (direct):
B1 0.625 0.666 0.750
B2 0.334 0.875 0.250
B3 0.125 0.084 0.750
B4 0.916 0.375 0.250
Tc1 0.250 0.750 0.500
Tc2 0.000 0.000 0.000
Nb1 0.750 0.250 0.500
Nb2 0.500 0.500 0.000

Computed properties:
total magnetic moment: 0.00 μB/atom
space group: No. 122
DOS(E_F): 0.796 states/eV/atom
calculated formation energy: 0.67 eV/atom
theoretical density: 6.3 g/cm3



(5)
First-principles (GGA-PBEsol) data for an optimized crystal structure of Ti3NbB, as listed in Alexandria.

abc: 4.616 4.616 4.616
angles: 90.00 90.00 90.00
Each line ends with the local moment (μB).
Positions (direct):
Ti1 0.500 0.000 0.000  0.27
Ti2 0.000 0.500 0.000  0.27
Ti3 0.000 0.000 0.500  0.27
B1 0.500 0.500 0.500  -0.03
Nb1 0.000 0.000 0.000  0.00

Computed properties:
total magnetic moment: 0.20 μB/atom
space group: No. 221
DOS(E_F): 1.428 states/eV/atom
calculated formation energy: 1.80 eV/atom
theoretical density: 4.2 g/cm3



(6)
First-principles (GGA-PBEsol) data for an optimized crystal structure of TiNb2B2, as listed in Alexandria.

abc: 3.257 6.097 6.097
angles: 90.00 90.00 90.00
Positions (direct):
Ti1 0.000 0.500 0.500
Ti2 0.000 0.000 0.000
Nb1 0.500 0.821 0.321
Nb2 0.500 0.679 0.821
Nb3 0.500 0.179 0.679
Nb4 0.500 0.321 0.179
B1 0.000 0.606 0.106
B2 0.000 0.394 0.894
B3 0.000 0.106 0.394
B4 0.000 0.894 0.606

Computed properties:
total magnetic moment: 0.00 μB/atom
space group: No. 127
DOS(E_F): 0.749 states/eV/atom
calculated formation energy: -0.71 eV/atom
theoretical density: 7.0 g/cm3



What did the second record say?
First-principles (GGA-PBEsol) data for an optimized crystal structure of NbTc3B, as listed in Alexandria.

abc: 4.633 4.633 4.633
angles: 90.00 90.00 90.00
Each line ends with the local moment (μB).
Positions (direct):
Tc1 0.000 0.000 0.500  1.04
Tc2 0.000 0.500 0.000  1.04
Tc3 0.500 0.000 0.000  1.04
B1 0.500 0.500 0.500  -0.01
Nb1 0.000 0.000 0.000  -0.13

Computed properties:
total magnetic moment: 0.62 μB/atom
space group: No. 221
DOS(E_F): 0.875 states/eV/atom
calculated formation energy: 2.85 eV/atom
theoretical density: 6.6 g/cm3